{
  "formula": "ZrTl2Sb",
  "functional": "PBE",
  "state": "relaxed",
  "polymorph_energy_ev_per_atom": 0.214,
  "sg": "Cmmm (65)",
  "energy_ev_per_atom": -4.26,
  "lattice": [[3.197, -4.854, 0.000], [3.197, 4.854, 0.000], [0.000, 0.000, 3.286]],
  "species": ["Zr", "Tl", "Tl", "Sb"],
  "fractional_positions": [[0.000, 0.000, 0.000], [0.000, 0.500, 0.500], [0.500, 0.000, 0.500], [0.500, 0.500, 0.000]]
}